! GGA-PBE TaCdCuB, relaxed; values from VASP
! Space-group type ... F-43m
! Polymorph energy (0 for the lowest one) ... 364 meV per atom
! Total moment ... 0.05 μB per cell
&SYSTEM
  ibrav = 0, nat = 4, ntyp = 4
/
ATOMIC_SPECIES
B 10.81 B.upf
Cd 112.41 Cd.upf
Cu 63.55 Cu.upf
Ta 180.95 Ta.upf
ATOMIC_POSITIONS crystal
B 0.000 0.000 0.000
Cd 0.250 0.250 0.250
Cu 0.750 0.750 0.750
Ta 0.500 0.500 0.500
CELL_PARAMETERS angstrom
0.000 3.109 3.109
3.109 0.000 3.109
3.109 3.109 0.000